(1)
First-principles (PBE) data for a relaxed structure of CuSbPt3, as listed in the Alexandria database.

The structure in CIF format:
```
data_CuSbPt3
_chemical_formula_sum 'Cu1 Sb1 Pt3'
_cell_length_a 4.621
_cell_length_b 4.621
_cell_length_c 4.621
_cell_angle_alpha 90.00
_cell_angle_beta 90.00
_cell_angle_gamma 90.00
_space_group_name_H-M_alt 'P m -3 m'
_space_group_IT_number 221
_space_group_name_Hall '-P 4 2 3'
loop_
_atom_site_label
_atom_site_type_symbol
_atom_site_fract_x
_atom_site_fract_y
_atom_site_fract_z
Cu1 Cu 0.000 0.000 0.000
Sb1 Sb 0.500 0.500 0.500
Pt1 Pt 0.000 0.000 0.500
```

Output
Its crystal system is cubic. The calculation puts the energy above the most stable polymorph in this dataset at 0 meV per atom.



(2)
First-principles (PBE) data for a relaxed structure of Cu4Sb2Pt, as listed in the Alexandria database.

The structure in CIF format:
```
data_Cu4Sb2Pt
_chemical_formula_sum 'Cu8 Sb4 Pt2'
_cell_length_a 4.707
_cell_length_b 4.707
_cell_length_c 13.183
_cell_angle_alpha 90.00
_cell_angle_beta 90.00
_cell_angle_gamma 90.00
_space_group_name_H-M_alt 'I 4/m m m'
_space_group_IT_number 139
_space_group_name_Hall '-I 4 2'
loop_
_atom_site_label
_atom_site_type_symbol
_atom_site_fract_x
_atom_site_fract_y
_atom_site_fract_z
Cu1 Cu 0.000 0.000 0.187
Cu2 Cu 0.000 0.500 0.000
Sb1 Sb 0.000 0.000 0.377
Pt1 Pt 0.000 0.000 0.000
```

Output
Its crystal system is tetragonal.



(3)
First-principles (PBE) data for a relaxed structure of CuSb2Pt2, as listed in the Alexandria database.

The structure in CIF format:
```
data_CuSb2Pt2
_chemical_formula_sum 'Cu2 Sb4 Pt4'
_cell_length_a 7.096
_cell_length_b 7.096
_cell_length_c 3.864
_cell_angle_alpha 90.00
_cell_angle_beta 90.00
_cell_angle_gamma 90.00
_space_group_name_H-M_alt 'P 4/m b m'
_space_group_IT_number 127
_space_group_name_Hall '-P 4 2ab'
loop_
_atom_site_label
_atom_site_type_symbol
_atom_site_fract_x
_atom_site_fract_y
_atom_site_fract_z
Cu1 Cu 0.000 0.000 0.000
Sb1 Sb 0.166 0.334 0.500
Pt1 Pt 0.143 0.643 0.000
```

Output
Its crystal system is tetragonal. The calculation puts the energy above the most stable polymorph in this dataset at 0 meV per atom.



(4)
First-principles (PBE) data for a relaxed structure of CuSbPt2, as listed in the Alexandria database.

The structure in CIF format:
```
data_CuSbPt2
_chemical_formula_sum 'Cu3 Sb3 Pt6'
_cell_length_a 3.9823
_cell_length_b 3.9823
_cell_length_c 15.4071
_cell_angle_alpha 90.00
_cell_angle_beta 90.00
_cell_angle_gamma 120.00
_space_group_name_H-M_alt 'R -3 m'
_space_group_IT_number 166
_space_group_name_Hall '-R 3 2"'
loop_
_atom_site_label
_atom_site_type_symbol
_atom_site_fract_x
_atom_site_fract_y
_atom_site_fract_z
Cu1 Cu 0.0000 0.0000 0.0000
Sb1 Sb 0.0000 0.0000 0.5000
Pt1 Pt 0.0000 0.0000 0.2653
```

Output
Its crystal system is trigonal.



(5)
First-principles (PBE) data for a relaxed structure of Cu2SbPt2, as listed in the Alexandria database.

The structure in CIF format:
```
data_Cu2SbPt2
_chemical_formula_sum 'Cu4 Sb2 Pt4'
_cell_length_a 7.342
_cell_length_b 7.342
_cell_length_c 2.988
_cell_angle_alpha 90.00
_cell_angle_beta 90.00
_cell_angle_gamma 90.00
_space_group_name_H-M_alt 'P 4/m b m'
_space_group_IT_number 127
_space_group_name_Hall '-P 4 2ab'
loop_
_atom_site_label
_atom_site_type_symbol
_atom_site_fract_x
_atom_site_fract_y
_atom_site_fract_z
Cu1 Cu 0.155 0.345 0.000
Sb1 Sb 0.000 0.000 0.500
Pt1 Pt 0.140 0.640 0.500
```

Output
Its crystal system is tetragonal. The calculation puts the energy above the most stable polymorph in this dataset at 0 meV per atom.



(6)
First-principles (PBE) data for a relaxed structure of Cu2SbPt2, as listed in the Alexandria database.

The structure in CIF format:
```
data_Cu2SbPt2
_chemical_formula_sum 'Cu4 Sb2 Pt4'
_cell_length_a 3.547
_cell_length_b 3.547
_cell_length_c 13.353
_cell_angle_alpha 90.00
_cell_angle_beta 90.00
_cell_angle_gamma 90.00
_space_group_name_H-M_alt 'I 4/m m m'
_space_group_IT_number 139
_space_group_name_Hall '-I 4 2'
loop_
_atom_site_label
_atom_site_type_symbol
_atom_site_fract_x
_atom_site_fract_y
_atom_site_fract_z
Cu1 Cu 0.000 0.500 0.250
Sb1 Sb 0.000 0.000 0.000
Pt1 Pt 0.000 0.000 0.394
```

Output
Its crystal system is tetragonal. The calculation puts the energy above the most stable polymorph in this dataset at 59 meV per atom.



(7)
First-principles (PBE) data for a relaxed structure of CuSbPt2, as listed in the Alexandria database.

The structure in CIF format:
```
data_CuSbPt2
_chemical_formula_sum 'Cu1 Sb1 Pt2'
_cell_length_a 4.036
_cell_length_b 4.036
_cell_length_c 4.021
_cell_angle_alpha 90.00
_cell_angle_beta 90.00
_cell_angle_gamma 90.00
_space_group_name_H-M_alt 'P 4/m m m'
_space_group_IT_number 123
_space_group_name_Hall '-P 4 2'
loop_
_atom_site_label
_atom_site_type_symbol
_atom_site_fract_x
_atom_site_fract_y
_atom_site_fract_z
Cu1 Cu 0.000 0.000 0.000
Sb1 Sb 0.500 0.500 0.000
Pt1 Pt 0.000 0.500 0.500
```

Output
Its crystal system is tetragonal.



(8)
First-principles (PBE) data for a relaxed structure of CuSb2Pt2, as listed in the Alexandria database.

The structure in CIF format:
```
data_CuSb2Pt2
_chemical_formula_sum 'Cu2 Sb4 Pt4'
_cell_length_a 7.432
_cell_length_b 7.432
_cell_length_c 3.612
_cell_angle_alpha 90.00
_cell_angle_beta 90.00
_cell_angle_gamma 90.00
_space_group_name_H-M_alt 'P 4/m b m'
_space_group_IT_number 127
_space_group_name_Hall '-P 4 2ab'
loop_
_atom_site_label
_atom_site_type_symbol
_atom_site_fract_x
_atom_site_fract_y
_atom_site_fract_z
Cu1 Cu 0.000 0.000 0.000
Sb1 Sb 0.171 0.329 0.000
Pt1 Pt 0.134 0.634 0.500
```

Output
Its crystal system is tetragonal. The calculation puts the energy above the most stable polymorph in this dataset at 142 meV per atom.



(9)
First-principles (PBE) data for a relaxed structure of Cu3SbPt4, as listed in the Alexandria database.

The structure in CIF format:
```
data_Cu3SbPt4
_chemical_formula_sum 'Cu6 Sb2 Pt8'
_cell_length_a 15.077
_cell_length_b 4.056
_cell_length_c 4.056
_cell_angle_alpha 90.00
_cell_angle_beta 105.48
_cell_angle_gamma 90.00
_space_group_name_H-M_alt 'C 1 2/m 1'
_space_group_IT_number 12
loop_
_space_group_symop_operation_xyz
'x,y,z'
'-x,-y,-z'
'-x,y,-z'
'x,-y,z'
'x+1/2,y+1/2,z'
'-x+1/2,-y+1/2,-z'
'-x+1/2,y+1/2,-z'
'x+1/2,-y+1/2,z'
loop_
_atom_site_label
_atom_site_type_symbol
_atom_site_fract_x
_atom_site_fract_y
_atom_site_fract_z
Cu1 Cu 0.000 0.000 0.000
Cu2 Cu 0.249 0.000 0.249
Sb1 Sb 0.000 0.500 0.500
Pt1 Pt 0.130 0.000 0.629
Pt2 Pt 0.130 0.500 0.129
```

Output
Its crystal system is monoclinic.



(10)
First-principles (PBE) data for a relaxed structure of CuSbPt2, as listed in the Alexandria database.

The structure in CIF format:
```
data_CuSbPt2
_chemical_formula_sum 'Cu2 Sb2 Pt4'
_cell_length_a 5.675
_cell_length_b 6.251
_cell_length_c 3.715
_cell_angle_alpha 90.00
_cell_angle_beta 90.00
_cell_angle_gamma 90.00
_space_group_name_H-M_alt 'C m m m'
_space_group_IT_number 65
_space_group_name_Hall '-C 2 2'
loop_
_atom_site_label
_atom_site_type_symbol
_atom_site_fract_x
_atom_site_fract_y
_atom_site_fract_z
Cu1 Cu 0.000 0.000 0.000
Sb1 Sb 0.000 0.500 0.000
Pt1 Pt 0.250 0.250 0.500
```

Output
Its crystal system is orthorhombic.



(11)
First-principles (PBE) data for a relaxed structure of CuSbPt2, as listed in the Alexandria database.

The structure in CIF format:
```
data_CuSbPt2
_chemical_formula_sum 'Cu4 Sb4 Pt8'
_cell_length_a 5.817
_cell_length_b 5.817
_cell_length_c 11.386
_cell_angle_alpha 90.00
_cell_angle_beta 90.00
_cell_angle_gamma 90.00
_space_group_name_H-M_alt 'I -4 2 d'
_space_group_IT_number 122
_space_group_name_Hall 'I -4 2bw'
loop_
_atom_site_label
_atom_site_type_symbol
_atom_site_fract_x
_atom_site_fract_y
_atom_site_fract_z
Cu1 Cu 0.000 0.000 0.000
Sb1 Sb 0.000 0.000 0.500
Pt1 Pt 0.233 0.250 0.125
```

Output
Its crystal system is tetragonal.



(12)
First-principles (PBE) data for a relaxed structure of CuSb2Pt2, as listed in the Alexandria database.

The structure in CIF format:
```
data_CuSb2Pt2
_chemical_formula_sum 'Cu2 Sb4 Pt4'
_cell_length_a 3.854
_cell_length_b 3.854
_cell_length_c 14.351
_cell_angle_alpha 90.00
_cell_angle_beta 90.00
_cell_angle_gamma 90.00
_space_group_name_H-M_alt 'I 4/m m m'
_space_group_IT_number 139
_space_group_name_Hall '-I 4 2'
loop_
_atom_site_label
_atom_site_type_symbol
_atom_site_fract_x
_atom_site_fract_y
_atom_site_fract_z
Cu1 Cu 0.000 0.000 0.000
Sb1 Sb 0.000 0.000 0.387
Pt1 Pt 0.000 0.500 0.250
```

Output
Its crystal system is tetragonal. The calculation puts the energy above the most stable polymorph in this dataset at 149 meV per atom.



Per-record total magnetic moment, μB per cell: 0.000; 0.000; 0.000; 0.000; 0.000; 0.000; 0.000; 0.000; 0.000; 0.000; 0.000; 0.000
Per-record ΔE_f (raw), meV/atom: 667; 453; -92; -135; -97; -38; -155; 50; -220; -155; 281; 57
Per-record V, Å³/atom: 19.737; 20.862; 19.458; 17.633; 16.105; 16.800; 16.374; 19.950; 14.938; 16.475; 24.078; 21.321